No. 1
VASP calculation (PBE) on crystalline CeYHo4S8 at its relaxed geometry.

M_tot: 1.7 μB/f.u.
DOS at the Fermi energy: 12.47 states/eV per cell
Uncorrected energy: -6.47 eV per atom

The structure in POSCAR format:
```
CeYHo4S8
1.0
4.038 2.332 6.611
-4.038 2.332 6.611
0.000 -4.663 6.611
Ce Y Ho S
1 1 4 8
direct
0.000 0.000 0.000
0.625 0.625 0.625
0.126 0.625 0.625
0.251 0.251 0.251
0.625 0.126 0.625
0.625 0.625 0.126
0.381 0.381 0.855
0.381 0.855 0.381
0.383 0.383 0.383
0.411 0.865 0.865
0.855 0.381 0.381
0.863 0.863 0.863
0.865 0.411 0.865
0.865 0.865 0.411
```

No. 2
VASP calculation (PBE) on crystalline Ba2TmHfS6 at its relaxed geometry.

M_tot: 0.0 μB/f.u.
DOS at the Fermi energy: 11.90 states/eV per cell
Uncorrected energy: -6.08 eV per atom

The structure in POSCAR format:
```
Ba2TmHfS6
1.0
7.226 0.000 0.000
0.000 10.215 0.000
0.000 0.000 7.224
Ba Tm Hf S
4 2 2 12
direct
0.250 0.000 0.250
0.250 0.500 0.250
0.750 0.000 0.750
0.750 0.500 0.750
0.250 0.250 0.750
0.750 0.750 0.250
0.250 0.750 0.750
0.750 0.250 0.250
0.005 0.750 0.506
0.006 0.750 0.995
0.250 0.505 0.750
0.250 0.995 0.750
0.494 0.750 0.995
0.495 0.750 0.506
0.505 0.250 0.494
0.506 0.250 0.005
0.750 0.005 0.250
0.750 0.495 0.250
0.994 0.250 0.005
0.995 0.250 0.494
```